This record from Alexandria via LeMat-Bulk describes an optimized crystal structure of Ho3MgIn3Te8. The functional is GGA-PBE.

Results
* formation energy (no corrections): -0.84 eV per atom
* space group: C2/m

abc: 8.721 8.717 9.148
angles: 118.48 90.00 120.02
Element x y z (fractional)
Ho 0.500 0.000 0.500
Ho 0.500 0.500 0.500
Ho 0.000 0.500 0.500
Mg 0.000 0.000 0.500
In 0.000 0.000 0.000
In 0.000 0.500 0.000
In 0.500 0.500 0.000
Te 0.256 0.511 0.267
Te 0.744 0.489 0.733
Te 0.762 0.524 0.275
Te 0.238 0.476 0.725
Te 0.762 0.013 0.276
Te 0.238 0.987 0.724
Te 0.251 0.013 0.275
Te 0.749 0.987 0.725